Compound: Fe2NiF6
Source: the Alexandria database
Functional: PBE+U
Structure: optimized geometry

Lattice parameters (Å, degrees): 4.7688 4.7688 9.7412 90.00 90.00 90.00
Last column: nearest neighbours and their distance in Å.
Atoms (fractional coordinates):
Fe 0.0000 0.0000 0.1659  6 F 2.05-2.14
Fe 0.0000 0.0000 0.8341  6 F 2.05-2.14
Fe 0.5000 0.5000 0.3341  6 F 2.05-2.14
Fe 0.5000 0.5000 0.6659  6 F 2.05-2.14
Ni 0.0000 0.0000 0.5000  6 F 2.01-2.06
Ni 0.5000 0.5000 0.0000  6 F 2.01-2.06
F 0.1961 0.1961 0.3383  2 Fe 2.05-2.14, 1 Ni 2.06
F 0.1961 0.1961 0.6617  2 Fe 2.05-2.14, 1 Ni 2.06
F 0.2025 0.2025 0.0000  1 Ni 2.01, 2 Fe 2.12
F 0.2975 0.7025 0.5000  1 Ni 2.01, 2 Fe 2.12
F 0.3039 0.6961 0.1617  2 Fe 2.05-2.14, 1 Ni 2.06
F 0.3039 0.6961 0.8383  2 Fe 2.05-2.14, 1 Ni 2.06
F 0.6961 0.3039 0.1617  2 Fe 2.05-2.14, 1 Ni 2.06
F 0.6961 0.3039 0.8383  2 Fe 2.05-2.14, 1 Ni 2.06
F 0.7025 0.2975 0.5000  1 Ni 2.01, 2 Fe 2.12
F 0.7975 0.7975 0.0000  1 Ni 2.01, 2 Fe 2.12
F 0.8039 0.8039 0.3383  2 Fe 2.05-2.14, 1 Ni 2.06
F 0.8039 0.8039 0.6617  2 Fe 2.05-2.14, 1 Ni 2.06

Results
- density of states at the Fermi level (states/eV per cell) = 0.00
- DFT total energy (eV per formula unit) = -46.4
- size of the total moment (μB per cell) = 20.00